No. 1
This record from Alexandria via LeMat-Bulk describes a geometry-optimized Rb2BaHg structure. The functional is PBE.

Unit cell a=4.5338 b=4.5338 c=14.3168 alpha=80.89 beta=80.89 gamma=60.00
With the nearest neighbours (Å) after each atom.
Element x y z (fractional)
Hg 0.5000 0.5000 0.5000  6 Rb 3.72
Rb 0.1042 0.1042 0.6875  3 Hg 3.72
Ba 0.0000 0.0000 0.0000  2 Rb 4.40, 6 Ba 4.53
Rb 0.8958 0.8958 0.3125  3 Hg 3.72

Output
Raw total energy = -0.99 eV per atom
Fermi-level density of states = 1.163 states/eV per atom
M_tot = 0.01 μB per cell
E_form = 0.045 eV/atom


No. 2
This record from Alexandria via LeMat-Bulk describes a geometry-optimized LiMgZnHg2 structure. The functional is PBE.

Unit cell a=4.7037 b=4.7037 c=5.6022 alpha=90.00 beta=90.00 gamma=120.00
With the nearest neighbours (Å) after each atom.
Element x y z (fractional)
Mg 0.0000 0.0000 0.9719  6 Hg 2.84-2.98
Zn 0.3333 0.6667 0.6667  5 Hg 2.68-2.93
Hg 0.6667 0.3333 0.8227  2 Li 2.65-2.95, 3 Mg 2.84, 3 Zn 2.85
Li 0.6667 0.3333 0.3497  5 Hg 2.65-2.95
Hg 0.3333 0.6667 0.1891  2 Zn 2.68-2.93, 3 Li 2.86, 3 Mg 2.98

Output
Raw total energy = -1.21 eV per atom
Fermi-level density of states = 0.405 states/eV per atom
M_tot = 0.00 μB per cell
E_form = -0.135 eV/atom


No. 3
This record from Alexandria via LeMat-Bulk describes a geometry-optimized K3NbF structure. The functional is PBE.

Unit cell a=5.5331 b=5.5331 c=5.5331 alpha=90.00 beta=90.00 gamma=90.00
With the nearest neighbours (Å) after each atom.
Element x y z (fractional)
F 0.0000 0.0000 0.0000  6 K 2.77
K 0.5000 0.0000 0.0000  2 F 2.77
K 0.0000 0.5000 0.0000  2 F 2.77
K 0.0000 0.0000 0.5000  2 F 2.77
Nb 0.5000 0.5000 0.5000  12 K 3.91

Output
Raw total energy = -3.20 eV per atom
Fermi-level density of states = 0.303 states/eV per atom
M_tot = 5.02 μB per cell
Formation energy from raw total energies = -0.1503 eV/atom
Relative energy among the computed polymorphs = 0.0 kJ/mol of formula units


No. 4
This record from Alexandria via LeMat-Bulk describes a geometry-optimized Tm10Pb3Au3 structure. The functional is PBE.

Unit cell a=6.6348 b=8.6660 c=8.6660 alpha=120.00 beta=90.00 gamma=90.00
With the nearest neighbours (Å) after each atom.
Element x y z (fractional)
Pb 0.5000 0.0000 0.4017  7 Tm 3.03-3.16
Tm 0.0000 0.7559 0.7559  3 Au 3.00-3.12
Tm 0.2386 0.6667 0.3333  3 Au 3.10, 3 Pb 3.16, 1 Tm 3.17
Tm 0.2386 0.3333 0.6667  3 Au 3.10, 3 Pb 3.16, 1 Tm 3.17
Pb 0.5000 0.5983 0.5983  7 Tm 3.03-3.16
Au 0.0000 0.6042 0.0000  7 Tm 3.00-3.12
Tm 0.5000 0.7612 0.0000  3 Pb 3.03-3.12
Au 0.0000 0.3958 0.3958  7 Tm 3.00-3.12
Tm 0.0000 0.2441 0.0000  3 Au 3.00-3.12
Tm 0.5000 0.2388 0.2388  3 Pb 3.03-3.12
Au 0.0000 0.0000 0.6042  7 Tm 3.00-3.12
Tm 0.0000 0.0000 0.2441  3 Au 3.00-3.12
Pb 0.5000 0.4017 0.0000  7 Tm 3.03-3.16
Tm 0.7614 0.6667 0.3333  3 Au 3.10, 3 Pb 3.16, 1 Tm 3.17
Tm 0.7614 0.3333 0.6667  3 Au 3.10, 3 Pb 3.16, 1 Tm 3.17
Tm 0.5000 0.0000 0.7612  3 Pb 3.03-3.12

Output
Raw total energy = -4.63 eV per atom
Fermi-level density of states = 0.914 states/eV per atom
M_tot = 0.00 μB per cell
E_form = -0.528 eV/atom